BaRhCl | PBE | optimized geometry

a b c (Å): 9.2738 4.3113 4.4350
angles (deg): 106.38 90.98 95.40
Atoms (fractional coordinates):
Rh  0.7132  0.6986  0.5084
Rh  0.6889  0.0704  0.1305
Ba  0.4057  0.7193  0.3801
Ba  0.9143  0.4232  0.8569
Cl  0.5590  0.3612  0.7989
Cl  0.2009  0.0335  0.9829

Total magnetization   0.000 μB/atom
Crystal system   triclinic
DFT total energy   -4.644 eV per atom